[1]
# BiPd3

A relaxed BiPd3 crystal (GGA-PBEsol, the Alexandria database).

Results
- VASP energy (eV for the cell shown) = -92.43
- ρ (Mg/m³) = 13.0

```
data_BiPd3
_space_group_name_H-M_alt 'F m -3 m'
_space_group_IT_number 225
_space_group_name_Hall '-F 4 2 3'
_cell_length_a 6.4613
_cell_length_b 6.4613
_cell_length_c 6.4613
_cell_angle_alpha 90.00
_cell_angle_beta 90.00
_cell_angle_gamma 90.00
loop_
_atom_site_label
_atom_site_fract_x
_atom_site_fract_y
_atom_site_fract_z
Bi1 0.0000 0.0000 0.0000
Pd1 0.0000 0.0000 0.5000
Pd2 0.2500 0.2500 0.2500
```



[2]
# P2C

A relaxed P2C crystal (GGA-PBEsol, the Alexandria database).

Results
- VASP energy (eV for the cell shown) = -18.13
- ρ (Mg/m³) = 3.3

```
data_P2C
_space_group_name_H-M_alt 'P -3 m 1'
_space_group_IT_number 164
_space_group_name_Hall '-P 3 2"'
_cell_length_a 2.7473
_cell_length_b 2.7473
_cell_length_c 5.7158
_cell_angle_alpha 90.00
_cell_angle_beta 90.00
_cell_angle_gamma 120.00
loop_
_atom_site_label
_atom_site_fract_x
_atom_site_fract_y
_atom_site_fract_z
P1 0.3333 0.6667 0.2225
C1 0.0000 0.0000 0.0000
```



[3]
# Mn2In2CuPd3

A relaxed Mn2In2CuPd3 crystal (GGA-PBEsol, the Alexandria database).

Results
- VASP energy (eV for the cell shown) = -148.43
- ρ (Mg/m³) = 9.8

```
data_Mn2In2CuPd3
_space_group_name_H-M_alt 'R 3 m'
_space_group_IT_number 160
_space_group_name_Hall 'R 3 -2"'
_cell_length_a 4.4259
_cell_length_b 4.4259
_cell_length_c 21.7144
_cell_angle_alpha 90.00
_cell_angle_beta 90.00
_cell_angle_gamma 120.00
loop_
_atom_site_label
_atom_site_fract_x
_atom_site_fract_y
_atom_site_fract_z
Mn1 0.0000 0.0000 0.0000
Mn2 0.0000 0.0000 0.4972
In1 0.0000 0.0000 0.2506
In2 0.0000 0.0000 0.7467
Cu1 0.0000 0.0000 0.3744
Pd1 0.0000 0.0000 0.1244
Pd2 0.0000 0.0000 0.6225
Pd3 0.0000 0.0000 0.8731
```



[4]
# HfZnPt2

A relaxed HfZnPt2 crystal (GGA-PBEsol, the Alexandria database).

Results
- VASP energy (eV for the cell shown) = -117.85
- ρ (Mg/m³) = 16.5

```
data_HfZnPt2
_space_group_name_H-M_alt 'F m -3 m'
_space_group_IT_number 225
_space_group_name_Hall '-F 4 2 3'
_cell_length_a 6.3418
_cell_length_b 6.3418
_cell_length_c 6.3418
_cell_angle_alpha 90.00
_cell_angle_beta 90.00
_cell_angle_gamma 90.00
loop_
_atom_site_label
_atom_site_fract_x
_atom_site_fract_y
_atom_site_fract_z
Hf1 0.0000 0.0000 0.0000
Zn1 0.0000 0.0000 0.5000
Pt1 0.2500 0.2500 0.2500
```



[5]
# CrBBr3

A relaxed CrBBr3 crystal (GGA-PBEsol, the Alexandria database).

Results
- VASP energy (eV for the cell shown) = -19.69
- formation energy from raw total energies (eV per atom) = 0.64
- ρ (Mg/m³) = 4.9

```
data_CrBBr3
_space_group_name_H-M_alt 'P m -3 m'
_space_group_IT_number 221
_space_group_name_Hall '-P 4 2 3'
_cell_length_a 4.6686
_cell_length_b 4.6686
_cell_length_c 4.6686
_cell_angle_alpha 90.00
_cell_angle_beta 90.00
_cell_angle_gamma 90.00
loop_
_atom_site_label
_atom_site_fract_x
_atom_site_fract_y
_atom_site_fract_z
Cr1 0.0000 0.0000 0.0000
B1 0.5000 0.5000 0.5000
Br1 0.0000 0.5000 0.5000
```



[6]
# AlTcW

A relaxed AlTcW crystal (GGA-PBEsol, the Alexandria database).

Results
- VASP energy (eV for the cell shown) = -104.48
- ρ (Mg/m³) = 10.3

```
data_AlTcW
_space_group_name_H-M_alt 'F -4 3 m'
_space_group_IT_number 216
_space_group_name_Hall 'F -4 2 3'
_cell_length_a 5.8418
_cell_length_b 5.8418
_cell_length_c 5.8418
_cell_angle_alpha 90.00
_cell_angle_beta 90.00
_cell_angle_gamma 90.00
loop_
_atom_site_label
_atom_site_fract_x
_atom_site_fract_y
_atom_site_fract_z
Al1 0.0000 0.0000 0.0000
Tc1 0.2500 0.2500 0.7500
W1 0.2500 0.2500 0.2500
```



[7]
# MgCr2F12

A relaxed MgCr2F12 crystal (GGA-PBEsol, the Alexandria database).

Results
- VASP energy (eV for the cell shown) = -82.67
- formation energy from raw total energies (eV per atom) = -2.49
- ρ (Mg/m³) = 3.1

```
data_MgCr2F12
_space_group_name_H-M_alt 'P -1'
_space_group_IT_number 2
_space_group_name_Hall '-P 1'
_cell_length_a 4.9741
_cell_length_b 5.2187
_cell_length_c 8.7224
_cell_angle_alpha 73.60
_cell_angle_beta 88.99
_cell_angle_gamma 62.02
loop_
_atom_site_label
_atom_site_fract_x
_atom_site_fract_y
_atom_site_fract_z
Mg1 0.0000 0.0000 0.0000
Cr1 0.2649 0.5079 0.7408
F1 0.0220 0.2733 0.4196
F2 0.0304 0.7357 0.8674
F3 0.0893 0.2641 0.8155
F4 0.4341 0.7364 0.6963
F5 0.4468 0.7372 0.0776
F6 0.4973 0.2689 0.6372
```



[8]
# Ga2BiRh2

A relaxed Ga2BiRh2 crystal (GGA-PBEsol, the Alexandria database).

Results
- VASP energy (eV for the cell shown) = -58.12
- ρ (Mg/m³) = 10.9

```
data_Ga2BiRh2
_space_group_name_H-M_alt 'I 4/m m m'
_space_group_IT_number 139
_space_group_name_Hall '-I 4 2'
_cell_length_a 3.6696
_cell_length_b 3.6696
_cell_length_c 12.5601
_cell_angle_alpha 90.00
_cell_angle_beta 90.00
_cell_angle_gamma 90.00
loop_
_atom_site_label
_atom_site_fract_x
_atom_site_fract_y
_atom_site_fract_z
Ga1 0.0000 0.5000 0.2500
Bi1 0.0000 0.0000 0.0000
Rh1 0.0000 0.0000 0.3882
```



[9]
# Li2Hg

A relaxed Li2Hg crystal (GGA-PBEsol, the Alexandria database).

Results
- VASP energy (eV for the cell shown) = -5.47
- ρ (Mg/m³) = 7.0

```
data_Li2Hg
_space_group_name_H-M_alt 'P -3 m 1'
_space_group_IT_number 164
_space_group_name_Hall '-P 3 2"'
_cell_length_a 4.5050
_cell_length_b 4.5050
_cell_length_c 2.8882
_cell_angle_alpha 90.00
_cell_angle_beta 90.00
_cell_angle_gamma 120.00
loop_
_atom_site_label
_atom_site_fract_x
_atom_site_fract_y
_atom_site_fract_z
Li1 0.3333 0.6667 0.3942
Hg1 0.0000 0.0000 0.0000
```



[10]
# CaAgTe2

A relaxed CaAgTe2 crystal (GGA-PBEsol, the Alexandria database).

Results
- VASP energy (eV for the cell shown) = -42.96
- formation energy from raw total energies (eV per atom) = -0.46
- ρ (Mg/m³) = 4.9

```
data_CaAgTe2
_space_group_name_H-M_alt 'R -3 m'
_space_group_IT_number 166
_space_group_name_Hall '-R 3 2"'
_cell_length_a 4.2166
_cell_length_b 4.2166
_cell_length_c 26.8368
_cell_angle_alpha 90.00
_cell_angle_beta 90.00
_cell_angle_gamma 120.00
loop_
_atom_site_label
_atom_site_fract_x
_atom_site_fract_y
_atom_site_fract_z
Ca1 0.0000 0.0000 0.0000
Ag1 0.0000 0.0000 0.5000
Te1 0.0000 0.0000 0.4042
```



[11]
# CaTi4P6O24

A relaxed CaTi4P6O24 crystal (GGA-PBEsol, the Alexandria database).

Results
- VASP energy (eV for the cell shown) = -866.01
- formation energy from raw total energies (eV per atom) = -2.64
- ρ (Mg/m³) = 2.9

```
data_CaTi4P6O24
_space_group_name_H-M_alt 'R -3'
_space_group_IT_number 148
_space_group_name_Hall '-R 3'
_cell_length_a 8.4628
_cell_length_b 8.4628
_cell_length_c 21.9259
_cell_angle_alpha 90.00
_cell_angle_beta 90.00
_cell_angle_gamma 120.00
loop_
_atom_site_label
_atom_site_fract_x
_atom_site_fract_y
_atom_site_fract_z
Ca1 0.0000 0.0000 0.0000
Ti1 0.0000 0.0000 0.1475
Ti2 0.0000 0.0000 0.3597
P1 0.0059 0.7185 0.7477
O1 0.0002 0.1875 0.1927
O2 0.0027 0.8243 0.0858
O3 0.0592 0.8491 0.6935
O4 0.0608 0.8478 0.4065
```



[12]
# LiAl2Ni

A relaxed LiAl2Ni crystal (GGA-PBEsol, the Alexandria database).

Results
- VASP energy (eV for the cell shown) = -17.89
- ρ (Mg/m³) = 3.9

```
data_LiAl2Ni
_space_group_name_H-M_alt 'P 4/m m m'
_space_group_IT_number 123
_space_group_name_Hall '-P 4 2'
_cell_length_a 2.9656
_cell_length_b 2.9656
_cell_length_c 5.8462
_cell_angle_alpha 90.00
_cell_angle_beta 90.00
_cell_angle_gamma 90.00
loop_
_atom_site_label
_atom_site_fract_x
_atom_site_fract_y
_atom_site_fract_z
Li1 0.0000 0.0000 0.0000
Al1 0.5000 0.5000 0.2688
Ni1 0.0000 0.0000 0.5000
```



- Among the records above, which one has the highest VASP energy?
  Li2Hg